(1)
Material: Ba2ZrP
Method: DFT, PBE-GGA
State: relaxed

The structure in POSCAR format:
```
Ba2ZrP
1.0
2.6743 -6.3785 0.0000
2.6743 6.3785 0.0000
0.0000 0.0000 4.1712
P Ba Zr
1 2 1
Direct
0.1855 0.8145 0.0000
0.6080 0.3920 0.5000
0.9047 0.0953 0.0000
0.3037 0.6963 0.5000
```

Output
The total magnetization is 0.140 μB/atom. As for the calculated total energy: -4.732 eV per atom. Its density of states at the Fermi level is 4.844 states/eV per cell.

***

(2)
Material: KAlSCl2
Method: DFT, PBE-GGA
State: relaxed

The structure in POSCAR format:
```
KAlSCl2
1.0
-3.4640 0.1215 4.6869
4.5340 -1.3970 3.3871
1.1770 5.5786 0.7253
S Al K Cl
1 1 1 2
Direct
0.0000 0.0000 0.5000
0.5000 0.5000 0.5000
0.0000 0.0000 0.0000
0.0000 0.5000 0.0000
0.5000 0.0000 0.0000
```

Output
The total magnetization is 0.407 μB/atom. As for the calculated total energy: -2.465 eV per atom. The formation energy from raw total energies is 1.55 kcal/mol of atoms. Its density of states at the Fermi level is 5.387 states/eV per cell. The calculation puts the energy above the most stable polymorph in this dataset at 1.3398 eV/atom.